#P
Compound: MnNb3I
Source: Alexandria
Functional: PBE
Structure: relaxed

```
data_MnNb3I
_chemical_formula_sum 'Mn1 Nb3 I1'
_space_group_name_H-M_alt 'P m -3 m'
_space_group_IT_number 221
_space_group_name_Hall '-P 4 2 3'
_cell_length_a 4.7138
_cell_length_b 4.7138
_cell_length_c 4.7138
_cell_angle_alpha 90.00
_cell_angle_beta 90.00
_cell_angle_gamma 90.00
loop_
_atom_site_label
_atom_site_type_symbol
_atom_site_fract_x
_atom_site_fract_y
_atom_site_fract_z
Mn1 Mn 0.0000 0.0000 0.0000
Nb1 Nb 0.0000 0.0000 0.5000
I1 I 0.5000 0.5000 0.5000
```

Its crystal system is cubic.

***

#Q
Compound: MnNb3I
Source: Alexandria
Functional: PBE
Structure: relaxed

```
data_MnNb3I
_chemical_formula_sum 'Mn1 Nb3 I1'
_space_group_name_H-M_alt 'P m -3 m'
_space_group_IT_number 221
_space_group_name_Hall '-P 4 2 3'
_cell_length_a 5.0126
_cell_length_b 5.0126
_cell_length_c 5.0126
_cell_angle_alpha 90.00
_cell_angle_beta 90.00
_cell_angle_gamma 90.00
loop_
_atom_site_label
_atom_site_type_symbol
_atom_site_fract_x
_atom_site_fract_y
_atom_site_fract_z
Mn1 Mn 0.0000 0.0000 0.0000
Nb1 Nb 0.0000 0.5000 0.5000
I1 I 0.5000 0.5000 0.5000
```

Its crystal system is cubic.

***

Which one sits at the bottom of the stability order? #Q does.